Entry 1:
Here is a relaxed BaTlHg2Pd crystal from Alexandria via LeMat-Bulk. Energies are from PBE.

a b c (Å): 4.684 4.762 7.214
angles (deg): 109.27 108.94 90.00
Element x y z (fractional)
Hg (0.042, 0.042, 0.084)
Ba (0.436, 0.436, 0.871)
Tl (0.202, 0.702, 0.405)
Pd (0.828, 0.828, 0.656)
Hg (0.704, 0.204, 0.408)

Summary:
Offset from the most stable computed form in meV/atom: 0
Electronic total energy in eV/atom: -2.398

Entry 2:
Here is a relaxed BaTlHg2Pd crystal from Alexandria via LeMat-Bulk. Energies are from PBE.

a b c (Å): 5.376 5.376 5.850
angles (deg): 90.00 90.00 90.00
Element x y z (fractional)
Hg (0.000, 0.500, 0.000)
Pd (0.000, 0.000, 0.000)
Hg (0.500, 0.000, 0.000)
Tl (0.500, 0.500, 0.500)
Ba (0.000, 0.000, 0.500)

Summary:
Offset from the most stable computed form in meV/atom: 190
Electronic total energy in eV/atom: -2.208

Entry 3:
Here is a relaxed Ba2TlHgPd crystal from Alexandria via LeMat-Bulk. Energies are from PBE.

a b c (Å): 6.086 6.086 5.292
angles (deg): 90.00 90.00 90.00
Element x y z (fractional)
Tl (0.500, 0.500, 0.500)
Ba (0.000, 0.500, 0.000)
Ba (0.500, 0.000, 0.000)
Pd (0.000, 0.000, 0.000)
Hg (0.000, 0.000, 0.500)

Summary:
Offset from the most stable computed form in meV/atom: 47
Electronic total energy in eV/atom: -2.676

Entry 4:
Here is a relaxed Ba2TlHg3Pd4 crystal from Alexandria via LeMat-Bulk. Energies are from PBE.

a b c (Å): 4.780 4.780 11.278
angles (deg): 90.00 90.00 90.00
Element x y z (fractional)
Pd (0.500, 0.000, 0.631)
Ba (0.000, 0.500, 0.766)
Hg (0.000, 0.500, 0.127)
Hg (0.500, 0.000, 0.873)
Ba (0.500, 0.000, 0.234)
Pd (0.500, 0.500, 0.000)
Pd (0.000, 0.500, 0.369)
Tl (0.500, 0.500, 0.500)
Hg (0.000, 0.000, 0.500)
Pd (0.000, 0.000, 0.000)

Summary:
Electronic total energy in eV/atom: -3.204

Entry 5:
Here is a relaxed Ba2TlHg6Pd crystal from Alexandria via LeMat-Bulk. Energies are from PBE.

a b c (Å): 7.816 7.816 7.816
angles (deg): 60.00 60.00 90.00
Element x y z (fractional)
Hg (0.760, 0.240, 0.000)
Hg (0.240, 0.240, 0.520)
Pd (0.000, 0.000, 0.000)
Tl (0.500, 0.500, 0.000)
Hg (0.240, 0.760, 0.000)
Hg (0.760, 0.760, 0.480)
Ba (0.750, 0.250, 0.500)
Hg (0.760, 0.760, 0.000)
Ba (0.250, 0.750, 0.500)
Hg (0.240, 0.240, 0.000)

Summary:
Electronic total energy in eV/atom: -1.530

Entry 6:
Here is a relaxed BaTlHgPd crystal from Alexandria via LeMat-Bulk. Energies are from PBE.

a b c (Å): 5.443 5.443 5.443
angles (deg): 60.00 60.00 60.00
Element x y z (fractional)
Tl (0.000, 0.000, 0.000)
Pd (0.750, 0.750, 0.750)
Ba (0.500, 0.500, 0.500)
Hg (0.250, 0.250, 0.250)

Summary:
Offset from the most stable computed form in meV/atom: 114
Electronic total energy in eV/atom: -2.725

Entry 7:
Here is a relaxed BaTlHg2Pd crystal from Alexandria via LeMat-Bulk. Energies are from PBE.

a b c (Å): 5.372 5.372 5.305
angles (deg): 90.00 90.00 90.00
Element x y z (fractional)
Ba (0.500, 0.500, 0.500)
Tl (0.000, 0.000, 0.500)
Hg (0.500, 0.000, 0.000)
Pd (0.000, 0.000, 0.000)
Hg (0.000, 0.500, 0.000)

Summary:
Offset from the most stable computed form in meV/atom: 72
Electronic total energy in eV/atom: -2.326

Entry 8:
Here is a relaxed Ba2Tl3HgPd4 crystal from Alexandria via LeMat-Bulk. Energies are from PBE.

a b c (Å): 4.937 4.937 10.800
angles (deg): 90.00 90.00 90.00
Element x y z (fractional)
Pd (0.000, 0.500, 0.373)
Pd (0.000, 0.000, 0.000)
Ba (0.000, 0.500, 0.760)
Tl (0.000, 0.500, 0.120)
Pd (0.500, 0.500, 0.000)
Pd (0.500, 0.000, 0.627)
Tl (0.000, 0.000, 0.500)
Tl (0.500, 0.000, 0.880)
Hg (0.500, 0.500, 0.500)
Ba (0.500, 0.000, 0.240)

Summary:
Electronic total energy in eV/atom: -3.623

Entry 9:
Here is a relaxed BaTlHgPd crystal from Alexandria via LeMat-Bulk. Energies are from PBE.

a b c (Å): 4.947 4.941 6.288
angles (deg): 113.17 90.00 120.04
Element x y z (fractional)
Hg (0.835, 0.669, 0.145)
Pd (0.430, 0.859, 0.930)
Ba (0.622, 0.244, 0.509)
Tl (0.080, 0.161, 0.884)

Summary:
Offset from the most stable computed form in meV/atom: 0
Electronic total energy in eV/atom: -2.839

Entry 10:
Here is a relaxed Ba2TlHgPd crystal from Alexandria via LeMat-Bulk. Energies are from PBE.

a b c (Å): 6.141 6.141 5.261
angles (deg): 90.00 90.00 90.00
Element x y z (fractional)
Hg (0.500, 0.500, 0.500)
Tl (0.000, 0.000, 0.500)
Ba (0.000, 0.500, 0.000)
Ba (0.500, 0.000, 0.000)
Pd (0.000, 0.000, 0.000)

Summary:
Offset from the most stable computed form in meV/atom: 0
Electronic total energy in eV/atom: -2.723

Entry 11:
Here is a relaxed BaTlHgPd3 crystal from Alexandria via LeMat-Bulk. Energies are from PBE.

a b c (Å): 6.003 6.135 9.386
angles (deg): 109.08 90.00 90.00
Element x y z (fractional)
Tl (0.250, 0.090, 0.180)
Hg (0.250, 0.393, 0.785)
Pd (0.750, 0.759, 0.517)
Ba (0.250, 0.719, 0.438)
Hg (0.750, 0.607, 0.215)
Pd (0.000, 0.728, 0.000)
Pd (0.500, 0.728, 0.000)
Ba (0.750, 0.281, 0.562)
Pd (0.000, 0.272, 0.000)
Pd (0.250, 0.241, 0.483)
Pd (0.500, 0.272, 0.000)
Tl (0.750, 0.910, 0.820)

Summary:
Electronic total energy in eV/atom: -3.595

Entry 12:
Here is a relaxed Ba3Tl2Hg2Pd4 crystal from Alexandria via LeMat-Bulk. Energies are from PBE.

a b c (Å): 4.817 4.817 16.120
angles (deg): 90.00 90.00 120.00
Element x y z (fractional)
Ba (0.000, 0.000, 0.722)
Tl (0.333, 0.667, 0.569)
Pd (0.333, 0.667, 0.866)
Pd (0.333, 0.667, 0.394)
Ba (0.000, 0.000, 0.278)
Pd (0.667, 0.333, 0.606)
Tl (0.667, 0.333, 0.431)
Ba (0.000, 0.000, 0.000)
Hg (0.667, 0.333, 0.861)
Hg (0.333, 0.667, 0.139)
Pd (0.667, 0.333, 0.134)

Summary:
Electronic total energy in eV/atom: -3.344

Entry 13:
Here is a relaxed BaV2HgPd crystal from Alexandria via LeMat-Bulk. Energies are from PBE.

a b c (Å): 4.995 5.313 4.995
angles (deg): 90.00 90.00 90.00
Each line ends with the local moment (μB).
Element x y z (fractional)
Pd (0.000, 0.000, 0.000)  -0.03
V (0.000, 0.000, 0.500)  2.30
V (0.500, 0.000, 0.000)  2.62
Hg (0.000, 0.500, 0.000)  -0.03
Ba (0.500, 0.500, 0.500)  0.06

Summary:
Electronic total energy in eV/atom: -4.564

Entry 14:
Here is a relaxed Ba2YHgPd crystal from Alexandria via LeMat-Bulk. Energies are from PBE.

a b c (Å): 6.084 5.366 6.084
angles (deg): 90.00 90.00 90.00
Element x y z (fractional)
Ba (0.000, 0.000, 0.500)
Hg (0.000, 0.500, 0.000)
Pd (0.000, 0.000, 0.000)
Y (0.500, 0.500, 0.500)
Ba (0.500, 0.000, 0.000)

Summary:
Electronic total energy in eV/atom: -3.133

Entry 15:
Here is a relaxed Ba2Zn2HgPd5 crystal from Alexandria via LeMat-Bulk. Energies are from PBE.

a b c (Å): 3.748 10.539 10.539
angles (deg): 90.00 90.00 90.00
Element x y z (fractional)
Zn (0.000, 0.118, 0.618)
Zn (0.000, 0.882, 0.382)
Pd (0.500, 0.214, 0.061)
Zn (0.000, 0.618, 0.882)
Pd (0.500, 0.061, 0.786)
Ba (0.000, 0.319, 0.819)
Ba (0.000, 0.181, 0.319)
Hg (0.000, 0.000, 0.000)
Pd (0.500, 0.439, 0.286)
Pd (0.500, 0.286, 0.561)
Pd (0.500, 0.939, 0.214)
Pd (0.500, 0.000, 0.500)
Zn (0.000, 0.382, 0.118)
Pd (0.500, 0.786, 0.939)
Ba (0.000, 0.819, 0.681)
Pd (0.500, 0.714, 0.439)
Pd (0.500, 0.500, 0.000)
Hg (0.000, 0.500, 0.500)
Pd (0.500, 0.561, 0.714)
Ba (0.000, 0.681, 0.181)

Summary:
Electronic total energy in eV/atom: -3.678

Entry 16:
Here is a relaxed BaZnHg2Pd crystal from Alexandria via LeMat-Bulk. Energies are from PBE.

a b c (Å): 5.357 5.357 4.900
angles (deg): 90.00 90.00 90.00
Element x y z (fractional)
Ba (0.500, 0.500, 0.500)
Hg (0.500, 0.000, 0.000)
Hg (0.000, 0.500, 0.000)
Pd (0.000, 0.000, 0.000)
Zn (0.000, 0.000, 0.500)

Summary:
Electronic total energy in eV/atom: -2.141

Entry 17:
Here is a relaxed Ba2PmHg4 crystal from Alexandria via LeMat-Bulk. Energies are from PBE.

a b c (Å): 5.710 5.710 8.484
angles (deg): 109.66 109.66 90.00
Element x y z (fractional)
Ba (0.726, 0.726, 0.452)
Hg (0.103, 0.603, 0.206)
Hg (0.603, 0.103, 0.206)
Hg (0.397, 0.897, 0.794)
Pm (0.000, 0.000, 0.000)
Hg (0.897, 0.397, 0.794)
Ba (0.274, 0.274, 0.548)

Summary:
Electronic total energy in eV/atom: -1.790

Entry 18:
Here is a relaxed BaPmHg3 crystal from Alexandria via LeMat-Bulk. Energies are from PBE.

a b c (Å): 4.012 5.076 15.355
angles (deg): 90.00 97.51 90.00
Element x y z (fractional)
Ba (0.922, 0.750, 0.845)
Pm (0.791, 0.250, 0.582)
Hg (0.627, 0.750, 0.254)
Ba (0.078, 0.250, 0.155)
Hg (0.373, 0.250, 0.746)
Hg (0.687, 0.250, 0.375)
Hg (0.474, 0.250, 0.947)
Hg (0.313, 0.750, 0.625)
Hg (0.526, 0.750, 0.053)
Pm (0.209, 0.750, 0.418)

Summary:
Electronic total energy in eV/atom: -1.978

Entry 19:
Here is a relaxed BaPmHg4 crystal from Alexandria via LeMat-Bulk. Energies are from PBE.

a b c (Å): 6.213 6.213 6.213
angles (deg): 60.00 60.00 60.00
Element x y z (fractional)
Ba (0.000, 0.000, 0.000)
Hg (0.624, 0.624, 0.127)
Hg (0.127, 0.624, 0.624)
Pm (0.250, 0.250, 0.250)
Hg (0.624, 0.624, 0.624)
Hg (0.624, 0.127, 0.624)

Summary:
Offset from the most stable computed form in meV/atom: 142
Electronic total energy in eV/atom: -1.576

Entry 20:
Here is a relaxed Ba2PmHg3 crystal from Alexandria via LeMat-Bulk. Energies are from PBE.

a b c (Å): 4.030 4.030 12.373
angles (deg): 90.00 90.00 90.00
Element x y z (fractional)
Ba (0.500, 0.500, 0.821)
Pm (0.500, 0.500, 0.500)
Hg (0.000, 0.000, 0.637)
Ba (0.500, 0.500, 0.179)
Hg (0.000, 0.000, 0.363)
Hg (0.000, 0.000, 0.000)

Summary:
Electronic total energy in eV/atom: -2.072

Entry 21:
Here is a relaxed Ba4PmHg5 crystal from Alexandria via LeMat-Bulk. Energies are from PBE.

a b c (Å): 4.089 4.089 20.887
angles (deg): 90.00 90.00 90.00
Element x y z (fractional)
Ba (0.000, 0.000, 0.189)
Hg (0.500, 0.500, 0.080)
Pm (0.000, 0.000, 0.000)
Ba (0.000, 0.000, 0.811)
Hg (0.500, 0.500, 0.707)
Ba (0.000, 0.000, 0.397)
Hg (0.500, 0.500, 0.500)
Hg (0.500, 0.500, 0.293)
Ba (0.000, 0.000, 0.603)
Hg (0.500, 0.500, 0.920)

Summary:
Electronic total energy in eV/atom: -1.894

Entry 22:
Here is a relaxed Ba5PmHg6 crystal from Alexandria via LeMat-Bulk. Energies are from PBE.

a b c (Å): 5.820 8.287 9.260
angles (deg): 90.00 71.46 90.00
Element x y z (fractional)
Ba (0.668, 0.000, 0.663)
Hg (0.845, 0.763, 0.312)
Hg (0.500, 0.224, 0.000)
Hg (0.844, 0.237, 0.312)
Hg (0.156, 0.763, 0.688)
Ba (0.332, 0.500, 0.337)
Pm (0.000, 0.000, 0.000)
Hg (0.500, 0.776, 0.000)
Ba (0.668, 0.500, 0.663)
Ba (0.000, 0.500, 0.000)
Hg (0.155, 0.237, 0.688)
Ba (0.332, 0.000, 0.337)

Summary:
Electronic total energy in eV/atom: -1.837

Entry 23:
Here is a relaxed Ba3PmHg4 crystal from Alexandria via LeMat-Bulk. Energies are from PBE.

a b c (Å): 4.063 4.063 16.665
angles (deg): 90.00 90.00 90.00
Element x y z (fractional)
Ba (0.500, 0.500, 0.238)
Pm (0.500, 0.500, 0.000)
Hg (0.000, 0.000, 0.101)
Hg (0.000, 0.000, 0.630)
Hg (0.000, 0.000, 0.370)
Ba (0.500, 0.500, 0.762)
Hg (0.000, 0.000, 0.899)
Ba (0.500, 0.500, 0.500)

Summary:
Electronic total energy in eV/atom: -1.961

Entry 24:
Here is a relaxed BaPm2Hg2 crystal from Alexandria via LeMat-Bulk. Energies are from PBE.

a b c (Å): 3.929 4.024 10.923
angles (deg): 79.39 90.00 90.00
Each line ends with the local moment (μB).
Element x y z (fractional)
Ba (0.000, 0.000, 0.000)  0.00
Pm (0.000, 0.820, 0.361)  0.09
Hg (0.500, 0.611, 0.778)  0.00
Pm (0.000, 0.180, 0.639)  0.09
Hg (0.500, 0.389, 0.222)  0.00

Summary:
Electronic total energy in eV/atom: -2.691

Entry 25:
Here is a relaxed BaPmHg4 crystal from Alexandria via LeMat-Bulk. Energies are from PBE.

a b c (Å): 4.138 5.709 8.794
angles (deg): 100.43 76.39 68.75
Element x y z (fractional)
Hg (0.683, 0.988, 0.646)
Hg (0.317, 0.012, 0.354)
Ba (0.000, 0.000, 0.000)
Hg (0.127, 0.535, 0.211)
Pm (0.500, 0.500, 0.500)
Hg (0.873, 0.465, 0.789)

Summary:
Offset from the most stable computed form in meV/atom: 0
Electronic total energy in eV/atom: -1.718

Number 1: formation enthalpy at 0 K -0.3809 eV/atom. Number 2: formation enthalpy at 0 K -0.1910 eV/atom. Number 3: formation enthalpy at 0 K -0.3351 eV/atom. Number 4: formation enthalpy at 0 K -0.4149 eV/atom. Number 5: formation enthalpy at 0 K -0.2087 eV/atom. Number 6: formation enthalpy at 0 K -0.2787 eV/atom. Number 7: formation enthalpy at 0 K -0.3087 eV/atom. Number 8: formation enthalpy at 0 K -0.4214 eV/atom. Number 9: formation enthalpy at 0 K -0.3928 eV/atom. Number 10: formation enthalpy at 0 K -0.3817 eV/atom. Number 11: formation enthalpy at 0 K -0.2339 eV/atom. Number 12: formation enthalpy at 0 K -0.4466 eV/atom. Number 13: formation enthalpy at 0 K 0.5670 eV/atom. Number 14: formation enthalpy at 0 K 0.0277 eV/atom. Number 15: formation enthalpy at 0 K -0.4117 eV/atom. Number 16: formation enthalpy at 0 K -0.3428 eV/atom. Number 17: formation enthalpy at 0 K -0.3891 eV/atom. Number 18: formation enthalpy at 0 K -0.4618 eV/atom. Number 19: formation enthalpy at 0 K -0.2628 eV/atom. Number 20: formation enthalpy at 0 K -0.4883 eV/atom. Number 21: formation enthalpy at 0 K -0.4992 eV/atom. Number 22: formation enthalpy at 0 K -0.4895 eV/atom. Number 23: formation enthalpy at 0 K -0.4955 eV/atom. Number 24: formation enthalpy at 0 K -0.2857 eV/atom. Number 25: formation enthalpy at 0 K -0.4045 eV/atom.